## A
An optimized crystal structure of Zn2AuI, computed with GGA-PBE.

It has space group I-42d (No. 122), with a = 7.0203 Å, b = 7.0203 Å, c = 9.0022 Å, α = 90.00°, β = 90.00° and γ = 90.00°. The inequivalent atoms are Zn at (0.2079, 0.2500, 0.1250), Au at (0.0000, 0.0000, 0.0000) and I at (0.0000, 0.0000, 0.5000).

For the density of states at the Fermi level, the calculation gives 0.19 states/eV/f.u.

---

## B
An optimized crystal structure of Zn2AuI, computed with GGA-PBE.

It has space group Fm-3m (No. 225), with a = 7.0793 Å, b = 7.0793 Å, c = 7.0793 Å, α = 90.00°, β = 90.00° and γ = 90.00°. The inequivalent atoms are Zn at (0.2500, 0.2500, 0.2500), Au at (0.0000, 0.0000, 0.0000) and I at (0.0000, 0.0000, 0.5000).

For the density of states at the Fermi level, the calculation gives 0.86 states/eV/f.u.

---

Of them, A has the highest stability.

---

## A
An optimized crystal structure of ZnAuI3, computed with GGA-PBE.

It has space group P-1 (No. 2), with a = 4.3351 Å, b = 8.7634 Å, c = 11.9613 Å, α = 76.07°, β = 81.37° and γ = 76.65°. The inequivalent atoms are Zn at (0.1734, 0.3221, 0.3084), Au at (0.1179, 0.2803, 0.9651), I at (0.1171, 0.6348, 0.2328), I at (0.3400, 0.7566, 0.5567) and I at (0.3792, 0.1404, 0.1546).

For the density of states at the Fermi level, the calculation gives 0.00 states/eV/f.u.

---

## B
An optimized crystal structure of ZnAuI3, computed with GGA-PBE.

It has space group Pm-3m (No. 221), with a = 5.6730 Å, b = 5.6730 Å, c = 5.6730 Å, α = 90.00°, β = 90.00° and γ = 90.00°. The inequivalent atoms are Zn at (0.0000, 0.0000, 0.0000), Au at (0.5000, 0.5000, 0.5000) and I at (0.0000, 0.5000, 0.5000).

For the density of states at the Fermi level, the calculation gives 3.55 states/eV/f.u.

---

Of them, A has the highest stability.

---

## A
An optimized crystal structure of Zr2AuI, computed with GGA-PBE.

It has space group Fm-3m (No. 225), with a = 7.0311 Å, b = 7.0311 Å, c = 7.0311 Å, α = 90.00°, β = 90.00° and γ = 90.00°. The inequivalent atoms are Zr at (0.2500, 0.2500, 0.2500), Au at (0.0000, 0.0000, 0.0000) and I at (0.0000, 0.0000, 0.5000).

For the density of states at the Fermi level, the calculation gives 4.03 states/eV/f.u.

---

## B
An optimized crystal structure of Zr2AuI, computed with GGA-PBE.

It has space group I-42d (No. 122), with a = 6.1744 Å, b = 6.1744 Å, c = 13.5126 Å, α = 90.00°, β = 90.00° and γ = 90.00°. The inequivalent atoms are Zr at (0.2061, 0.2500, 0.1250), Au at (0.0000, 0.0000, 0.0000) and I at (0.0000, 0.0000, 0.5000).

For the density of states at the Fermi level, the calculation gives 4.16 states/eV/f.u.

---

Of them, A has the highest stability.

---

## A
An optimized crystal structure of In3Au4, computed with GGA-PBE.

It has space group P6/mmm (No. 191), with a = 6.0251 Å, b = 6.0251 Å, c = 5.1083 Å, α = 90.00°, β = 90.00° and γ = 120.00°. The inequivalent atoms are In at (0.0000, 0.5000, 0.0000), Au at (0.0000, 0.0000, 0.2512) and Au at (0.3333, 0.6667, 0.5000).

For the density of states at the Fermi level, the calculation gives 5.28 states/eV/f.u.

---

## B
An optimized crystal structure of In3Au4, computed with GGA-PBE.

It has space group I4/mmm (No. 139), with a = 3.8453 Å, b = 3.8453 Å, c = 19.8243 Å, α = 90.00°, β = 90.00° and γ = 90.00°. The inequivalent atoms are In at (0.0000, 0.0000, 0.0000), In at (0.0000, 0.0000, 0.2938), Au at (0.0000, 0.0000, 0.1477) and Au at (0.0000, 0.0000, 0.4308).

For the density of states at the Fermi level, the calculation gives 2.31 states/eV/f.u.

---

Of them, B has the highest stability.